No. 1
First-principles (PBE-GGA) data for a relaxed Tm3Cd4Ag2 crystal, as listed in Alexandria via LeMat-Bulk.

## Properties
The calculation puts the mass density at 9.4 g/cm3. The formation energy comes out at -0.2758 eV/atom. Its magnetic moment is 0.000 μB per atom. The volume is 206.2 Å³/cell.

```
Tm3Cd4Ag2
1.0
-2.999 1.345 -3.652
-1.961 -4.601 3.221
-0.609 8.323 3.567
Ag Tm Cd
2 3 4
direct
0.608 0.216 0.276 Ag
0.392 0.784 0.724 Ag
0.331 0.662 0.338 Tm
0.000 0.000 0.000 Tm
0.669 0.338 0.662 Tm
0.945 0.891 0.613 Cd
0.283 0.567 0.947 Cd
0.717 0.433 0.053 Cd
0.055 0.109 0.387 Cd
```



No. 2
First-principles (PBE-GGA) data for a relaxed TmCd6Ag6 crystal, as listed in Alexandria via LeMat-Bulk.

## Properties
The calculation puts the mass density at 9.1 g/cm3. The formation energy comes out at -0.0928 eV/atom. Its magnetic moment is 0.000 μB per atom. The volume is 270.6 Å³/cell. As for the polymorph energy (0 for the lowest one): 0.000 eV per atom.

```
TmCd6Ag6
1.0
-5.285 0.061 -2.050
3.309 -4.528 -0.826
-3.262 -3.896 8.291
Cd Ag Tm
6 6 1
direct
0.667 0.333 0.000 Cd
0.333 0.667 0.000 Cd
0.000 0.000 0.653 Cd
0.000 0.000 0.347 Cd
0.333 0.667 0.500 Cd
0.667 0.333 0.500 Cd
0.500 0.500 0.245 Ag
0.500 0.500 0.755 Ag
0.000 0.500 0.245 Ag
0.500 0.000 0.245 Ag
0.500 0.000 0.755 Ag
0.000 0.500 0.755 Ag
0.000 0.000 0.000 Tm
```



No. 3
First-principles (PBE-GGA) data for a relaxed Tm4CdAg2 crystal, as listed in Alexandria via LeMat-Bulk.

## Properties
The calculation puts the mass density at 8.6 g/cm3. The formation energy comes out at -0.0113 eV/atom. Its magnetic moment is 0.000 μB per atom. The volume is 194.6 Å³/cell. As for the polymorph energy (0 for the lowest one): 0.159 eV per atom.

```
Tm4CdAg2
1.0
-2.002 4.090 -1.861
-1.225 0.193 -4.761
-9.542 -1.784 -0.159
Cd Tm Ag
1 4 2
direct
0.000 0.000 0.000 Cd
0.205 0.205 0.385 Tm
0.619 0.619 0.142 Tm
0.795 0.795 0.615 Tm
0.381 0.381 0.858 Tm
0.100 0.100 0.701 Ag
0.900 0.900 0.299 Ag
```



No. 4
First-principles (PBE-GGA) data for a relaxed Tm3Cd2Ag crystal, as listed in Alexandria via LeMat-Bulk.

## Properties
The calculation puts the mass density at 9.5 g/cm3. The formation energy comes out at -0.3187 eV/atom. Its magnetic moment is 0.000 μB per atom. The volume is 147.1 Å³/cell.

```
Tm3Cd2Ag
1.0
3.656 0.000 0.000
0.000 3.656 0.000
0.000 0.000 11.000
Cd Tm Ag
2 3 1
direct
0.500 0.500 0.168 Cd
0.500 0.500 0.832 Cd
0.000 0.000 0.659 Tm
0.000 0.000 0.341 Tm
0.000 0.000 0.000 Tm
0.500 0.500 0.500 Ag
```



No. 5
First-principles (PBE-GGA) data for a relaxed Tm3Cd2Ag2 crystal, as listed in Alexandria via LeMat-Bulk.

## Properties
The calculation puts the mass density at 9.2 g/cm3. The formation energy comes out at -0.2383 eV/atom. Its magnetic moment is 0.000 μB per atom. The volume is 170.1 Å³/cell.

```
Tm3Cd2Ag2
1.0
-0.331 2.829 2.189
0.975 -1.969 2.692
12.855 4.715 -1.205
Ag Cd Tm
2 2 3
direct
0.434 0.500 0.133 Ag
0.566 0.500 0.867 Ag
0.708 0.500 0.584 Cd
0.292 0.500 0.416 Cd
0.866 0.000 0.268 Tm
0.000 0.000 0.000 Tm
0.134 0.000 0.732 Tm
```



No. 6
First-principles (PBE-GGA) data for a relaxed TmCd6Ag2 crystal, as listed in Alexandria via LeMat-Bulk.

## Properties
The calculation puts the mass density at 8.8 g/cm3. The formation energy comes out at -0.0718 eV/atom. Its magnetic moment is 0.000 μB per atom. The volume is 400.5 Å³/cell. As for the polymorph energy (0 for the lowest one): 0.004 eV per atom.

```
TmCd6Ag2
1.0
8.086 0.379 0.340
3.237 6.433 3.521
-0.338 0.380 8.086
Cd Ag Tm
12 4 2
direct
0.625 0.651 0.932 Cd
0.932 0.151 0.625 Cd
0.804 0.199 0.974 Cd
0.974 0.699 0.804 Cd
0.375 0.349 0.068 Cd
0.418 0.524 0.675 Cd
0.068 0.849 0.375 Cd
0.026 0.301 0.196 Cd
0.675 0.024 0.418 Cd
0.325 0.976 0.582 Cd
0.582 0.476 0.325 Cd
0.196 0.801 0.026 Cd
0.395 0.921 0.251 Ag
0.605 0.079 0.749 Ag
0.251 0.421 0.395 Ag
0.749 0.579 0.605 Ag
0.803 0.750 0.197 Tm
0.197 0.250 0.803 Tm
```



No. 7
First-principles (PBE-GGA) data for a relaxed TmCd6Ag crystal, as listed in Alexandria via LeMat-Bulk.

## Properties
The calculation puts the mass density at 8.8 g/cm3. The formation energy comes out at -0.0989 eV/atom. Its magnetic moment is 0.000 μB per atom. The volume is 179.7 Å³/cell. As for the polymorph energy (0 for the lowest one): 0.031 eV per atom.

```
TmCd6Ag
1.0
-3.043 -1.813 3.259
4.504 -3.964 1.999
0.191 5.446 3.208
Tm Ag Cd
1 1 6
direct
0.000 0.128 0.872 Tm
0.500 0.364 0.636 Ag
0.000 0.065 0.365 Cd
0.500 0.868 0.559 Cd
0.000 0.635 0.935 Cd
0.000 0.564 0.436 Cd
0.500 0.441 0.132 Cd
0.500 0.935 0.065 Cd
```



No. 8
First-principles (PBE-GGA) data for a relaxed TmCd5Ag6 crystal, as listed in Alexandria via LeMat-Bulk.

## Properties
The calculation puts the mass density at 9.5 g/cm3. The formation energy comes out at -0.0937 eV/atom. Its magnetic moment is 0.000 μB per atom. The volume is 239.7 Å³/cell. As for the polymorph energy (0 for the lowest one): 0.008 eV per atom.

```
TmCd5Ag6
1.0
4.219 -0.002 -1.182
-3.000 7.028 -2.611
-0.011 0.029 8.075
Cd Ag Tm
5 6 1
direct
0.000 0.670 0.330 Cd
0.500 0.831 0.169 Cd
0.500 0.500 0.500 Cd
0.500 0.169 0.831 Cd
0.000 0.330 0.670 Cd
0.254 0.088 0.420 Ag
0.746 0.580 0.912 Ag
0.746 0.912 0.580 Ag
0.246 0.745 0.745 Ag
0.254 0.420 0.088 Ag
0.754 0.255 0.255 Ag
0.000 0.000 0.000 Tm
```



No. 9
First-principles (PBE-GGA) data for a relaxed Tm7CdAg4 crystal, as listed in Alexandria via LeMat-Bulk.

## Properties
The calculation puts the mass density at 9.3 g/cm3. The formation energy comes out at -0.0497 eV/atom. Its magnetic moment is 0.000 μB per atom. The volume is 307.4 Å³/cell.

```
Tm7CdAg4
1.0
5.519 0.000 0.000
2.760 8.103 1.010
2.760 1.222 7.026
Tm Cd Ag
7 1 4
direct
0.182 0.126 0.511 Tm
0.268 0.695 0.770 Tm
0.079 0.584 0.258 Tm
0.921 0.416 0.742 Tm
0.500 0.000 0.000 Tm
0.732 0.305 0.230 Tm
0.818 0.874 0.489 Tm
0.000 0.000 0.000 Cd
0.467 0.695 0.371 Ag
0.687 0.658 0.969 Ag
0.533 0.305 0.629 Ag
0.313 0.342 0.031 Ag
```



No. 10
First-principles (PBE-GGA) data for a relaxed Tm2Cd6Ag crystal, as listed in Alexandria via LeMat-Bulk.

## Properties
The calculation puts the mass density at 9.0 g/cm3. The formation energy comes out at -0.1678 eV/atom. Its magnetic moment is 0.000 μB per atom. The volume is 207.5 Å³/cell. As for the polymorph energy (0 for the lowest one): 0.000 eV per atom.

```
Tm2Cd6Ag
1.0
-0.158 -0.015 -3.258
-8.531 -0.718 0.407
-4.887 7.038 0.195
Cd Tm Ag
6 2 1
direct
0.500 0.329 0.671 Cd
0.501 0.329 0.000 Cd
0.499 0.000 0.671 Cd
0.501 0.000 0.329 Cd
0.499 0.671 0.000 Cd
0.500 0.671 0.329 Cd
0.000 0.333 0.333 Tm
0.000 0.667 0.667 Tm
0.000 0.000 0.000 Ag
```



No. 11
First-principles (PBE-GGA) data for a relaxed Tm3CdAg4 crystal, as listed in Alexandria via LeMat-Bulk.

## Properties
The calculation puts the mass density at 9.9 g/cm3. The formation energy comes out at -0.2644 eV/atom. Its magnetic moment is 0.000 μB per atom. The volume is 354.0 Å³/cell.

```
Tm3CdAg4
1.0
-1.008 3.306 -3.595
-6.746 -2.259 -0.186
-2.455 6.764 6.907
Tm Ag Cd
6 8 2
direct
0.501 0.000 0.750 Tm
0.499 0.000 0.250 Tm
0.499 0.500 0.250 Tm
0.000 0.000 0.500 Tm
0.501 0.500 0.750 Tm
0.000 0.000 0.000 Tm
0.001 0.750 0.750 Ag
0.999 0.250 0.250 Ag
0.500 0.250 0.000 Ag
0.500 0.250 0.500 Ag
0.001 0.250 0.750 Ag
0.500 0.750 0.500 Ag
0.999 0.750 0.250 Ag
0.500 0.750 0.000 Ag
0.000 0.500 0.000 Cd
0.000 0.500 0.500 Cd
```



No. 12
First-principles (PBE-GGA) data for a relaxed TmCd3Ag2 crystal, as listed in Alexandria via LeMat-Bulk.

## Properties
The calculation puts the mass density at 9.0 g/cm3. The formation energy comes out at -0.1414 eV/atom. Its magnetic moment is 0.000 μB per atom. The volume is 265.1 Å³/cell. As for the polymorph energy (0 for the lowest one): 0.000 eV per atom.

```
TmCd3Ag2
1.0
4.256 0.000 0.000
-2.128 9.387 0.351
0.000 -3.942 6.488
Ag Cd Tm
4 6 2
direct
0.245 0.489 0.807 Ag
0.516 0.031 0.196 Ag
0.484 0.969 0.804 Ag
0.755 0.511 0.193 Ag
0.633 0.266 0.786 Cd
0.071 0.142 0.471 Cd
0.692 0.384 0.477 Cd
0.929 0.858 0.529 Cd
0.367 0.734 0.214 Cd
0.308 0.616 0.523 Cd
0.889 0.777 0.928 Tm
0.111 0.223 0.072 Tm
```



No. 13
First-principles (PBE-GGA) data for a relaxed TmCd6Ag8 crystal, as listed in Alexandria via LeMat-Bulk.

## Properties
The calculation puts the mass density at 9.0 g/cm3. The formation energy comes out at -0.0497 eV/atom. Its magnetic moment is 0.000 μB per atom. The volume is 313.3 Å³/cell.

```
TmCd6Ag8
1.0
4.827 0.000 0.000
0.000 7.497 -4.329
0.000 0.000 8.657
Ag Cd Tm
8 6 1
direct
0.000 0.000 0.679 Ag
0.000 0.679 0.679 Ag
0.000 0.679 0.000 Ag
0.000 0.667 0.333 Ag
0.000 0.333 0.667 Ag
0.000 0.321 0.321 Ag
0.000 0.321 0.000 Ag
0.000 0.000 0.321 Ag
0.500 0.215 0.430 Cd
0.500 0.785 0.215 Cd
0.500 0.785 0.570 Cd
0.500 0.570 0.785 Cd
0.500 0.215 0.785 Cd
0.500 0.430 0.215 Cd
0.500 0.000 0.000 Tm
```



No. 14
First-principles (PBE-GGA) data for a relaxed TmCd4Ag2 crystal, as listed in Alexandria via LeMat-Bulk.

## Properties
The calculation puts the mass density at 8.7 g/cm3. The formation energy comes out at -0.0455 eV/atom. Its magnetic moment is 0.000 μB per atom. The volume is 159.3 Å³/cell. As for the polymorph energy (0 for the lowest one): 0.053 eV per atom.

```
TmCd4Ag2
1.0
8.150 3.336 -1.194
3.027 6.452 -2.605
-0.898 -2.626 4.818
Tm Cd Ag
1 4 2
direct
0.000 0.000 0.000 Tm
0.626 0.379 0.718 Cd
0.500 0.000 0.000 Cd
0.000 0.500 0.000 Cd
0.374 0.621 0.282 Cd
0.732 0.791 0.517 Ag
0.268 0.209 0.483 Ag
```



No. 15
First-principles (PBE-GGA) data for a relaxed Tm3Cd2Ag4 crystal, as listed in Alexandria via LeMat-Bulk.

## Properties
The calculation puts the mass density at 9.6 g/cm3. The formation energy comes out at -0.2182 eV/atom. Its magnetic moment is 0.000 μB per atom. The volume is 404.1 Å³/cell. As for the polymorph energy (0 for the lowest one): 0.054 eV per atom.

```
Tm3Cd2Ag4
1.0
5.230 0.144 0.533
0.763 8.497 2.776
0.388 -0.671 8.938
Tm Cd Ag
6 4 8
direct
0.584 0.715 0.958 Tm
0.750 0.638 0.362 Tm
0.416 0.285 0.042 Tm
0.084 0.958 0.715 Tm
0.250 0.362 0.638 Tm
0.916 0.042 0.285 Tm
0.306 0.505 0.267 Cd
0.194 0.733 0.495 Cd
0.694 0.495 0.733 Cd
0.806 0.267 0.505 Cd
0.470 0.933 0.177 Ag
0.030 0.823 0.067 Ag
0.360 0.146 0.405 Ag
0.860 0.405 0.146 Ag
0.640 0.854 0.595 Ag
0.140 0.595 0.854 Ag
0.530 0.067 0.823 Ag
0.970 0.177 0.933 Ag
```



No. 16
First-principles (PBE-GGA) data for a relaxed TmCd7Ag3 crystal, as listed in Alexandria via LeMat-Bulk.

## Properties
The calculation puts the mass density at 8.4 g/cm3. The formation energy comes out at -0.0064 eV/atom. Its magnetic moment is 0.000 μB per atom. The volume is 252.5 Å³/cell.

```
TmCd7Ag3
1.0
7.258 0.000 0.000
0.000 6.338 0.000
0.000 -3.169 5.489
Ag Cd Tm
3 7 1
direct
0.783 0.499 0.999 Ag
0.783 0.001 0.501 Ag
0.783 0.499 0.501 Ag
0.477 0.839 0.678 Cd
0.090 0.159 0.318 Cd
0.090 0.159 0.841 Cd
0.118 0.667 0.333 Cd
0.477 0.322 0.161 Cd
0.090 0.682 0.841 Cd
0.477 0.839 0.161 Cd
0.444 0.333 0.667 Tm
```



No. 17
First-principles (PBE-GGA) data for a relaxed Tm8CdAg2 crystal, as listed in Alexandria via LeMat-Bulk.

## Properties
The calculation puts the mass density at 9.1 g/cm3. The formation energy comes out at -0.0239 eV/atom. Its magnetic moment is 0.000 μB per atom. The volume is 306.6 Å³/cell. As for the polymorph energy (0 for the lowest one): 0.107 eV per atom.

```
Tm8CdAg2
1.0
-4.890 0.387 2.178
2.152 -7.553 2.596
3.705 6.467 3.587
Cd Tm Ag
1 8 2
direct
0.500 0.000 0.000 Cd
0.894 0.906 0.671 Tm
0.696 0.393 0.393 Tm
0.106 0.094 0.329 Tm
0.894 0.671 0.906 Tm
0.500 0.224 0.776 Tm
0.304 0.607 0.607 Tm
0.500 0.776 0.224 Tm
0.106 0.329 0.094 Tm
0.000 0.697 0.303 Ag
0.000 0.303 0.697 Ag
```



No. 18
First-principles (PBE-GGA) data for a relaxed Tm2Cd3Ag3 crystal, as listed in Alexandria via LeMat-Bulk.

## Properties
The calculation puts the mass density at 9.8 g/cm3. The formation energy comes out at -0.2627 eV/atom. Its magnetic moment is 0.000 μB per atom. The volume is 170.0 Å³/cell.

```
Tm2Cd3Ag3
1.0
4.734 0.000 1.427
2.152 4.217 1.427
0.013 0.008 8.524
Tm Ag Cd
2 3 3
direct
0.003 0.003 0.991 Tm
0.497 0.497 0.509 Tm
0.876 0.876 0.373 Ag
0.126 0.126 0.621 Ag
0.373 0.373 0.881 Ag
0.249 0.249 0.254 Cd
0.751 0.751 0.746 Cd
0.625 0.625 0.126 Cd
```



No. 19
First-principles (PBE-GGA) data for a relaxed TmCd3Ag2 crystal, as listed in Alexandria via LeMat-Bulk.

## Properties
The calculation puts the mass density at 9.1 g/cm3. The formation energy comes out at -0.1377 eV/atom. Its magnetic moment is 0.000 μB per atom. The volume is 263.6 Å³/cell. As for the polymorph energy (0 for the lowest one): 0.004 eV per atom.

```
TmCd3Ag2
1.0
-2.678 0.211 -4.206
6.611 -0.183 -4.218
-0.753 -6.781 3.100
Cd Ag Tm
6 4 2
direct
0.389 0.432 0.777 Cd
0.083 0.767 0.165 Cd
0.917 0.233 0.835 Cd
0.689 0.997 0.378 Cd
0.611 0.568 0.223 Cd
0.311 0.003 0.622 Cd
0.520 0.187 0.039 Ag
0.245 0.614 0.490 Ag
0.755 0.386 0.510 Ag
0.480 0.813 0.961 Ag
0.138 0.217 0.276 Tm
0.862 0.783 0.724 Tm
```



No. 20
First-principles (PBE-GGA) data for a relaxed TmCd6Ag2 crystal, as listed in Alexandria via LeMat-Bulk.

## Properties
The calculation puts the mass density at 8.8 g/cm3. The formation energy comes out at -0.0755 eV/atom. Its magnetic moment is 0.000 μB per atom. The volume is 198.9 Å³/cell. As for the polymorph energy (0 for the lowest one): 0.000 eV per atom.

```
TmCd6Ag2
1.0
3.256 0.007 0.007
1.621 8.186 2.084
1.621 2.441 8.087
Tm Cd Ag
1 6 2
direct
0.000 0.000 0.000 Tm
0.324 0.999 0.351 Cd
0.500 0.330 0.670 Cd
0.676 0.649 0.001 Cd
0.500 0.670 0.330 Cd
0.324 0.351 0.999 Cd
0.676 0.001 0.649 Cd
0.149 0.354 0.354 Ag
0.851 0.646 0.646 Ag
```



No. 21
First-principles (PBE-GGA) data for a relaxed Tm8Cd2Ag crystal, as listed in Alexandria via LeMat-Bulk.

## Properties
The calculation puts the mass density at 9.2 g/cm3. The formation energy comes out at -0.1087 eV/atom. Its magnetic moment is 0.000 μB per atom. The volume is 302.8 Å³/cell.

```
Tm8Cd2Ag
1.0
-3.001 -0.902 -4.139
-3.377 -4.944 3.526
-2.698 8.073 3.453
Tm Cd Ag
8 2 1
direct
0.592 0.452 0.185 Tm
0.338 0.040 0.677 Tm
0.195 0.293 0.391 Tm
0.805 0.707 0.609 Tm
0.023 0.771 0.047 Tm
0.977 0.229 0.953 Tm
0.662 0.960 0.323 Tm
0.408 0.548 0.815 Tm
0.186 0.711 0.372 Cd
0.814 0.289 0.628 Cd
0.500 0.000 0.000 Ag
```